Computed, not measured: crystalline Ba2Si2Br at its relaxed geometry at the PBE-GGA level of DFT.

a b c (Å): 6.556 6.556 6.556
angles (deg): 124.13 124.13 82.98
Element x y z (fractional)
1 Ba 0.250 0.750 0.500
2 Ba 0.750 0.250 0.500
3 Si 0.610 0.610 0.000
4 Si 0.390 0.390 0.000
5 Br 0.000 0.000 0.000

For the energy above the most stable polymorph in this dataset, the calculation gives 0.4076 eV/atom. The calculation puts the magnetization at 0.00 μB/atom. As for the space-group type: I4/mmm, No. 139. The raw formation energy comes out at -0.530 eV/atom.